Entry 1:
This record from Alexandria via LeMat-Bulk describes a relaxed structure of Li2Er3Se4. The functional is GGA-PBE.

Formation energy without anion corrections ... -1452 meV per atom
Theoretical density ... 6.3 g/cm3
Crystal system ... monoclinic
M_tot ... 0.000 μB per formula unit

a = 6.9836 Å, b = 6.9836 Å, c = 10.2594 Å
α = 124.51°, β = 124.51°, γ = 33.05°
Positions (direct):
Li 0.1583 0.1583 0.3722
Li 0.8417 0.8417 0.6278
Er 0.2959 0.2959 0.1686
Er 0.5000 0.5000 0.0000
Er 0.7041 0.7041 0.8314
Se 0.0677 0.0677 0.8626
Se 0.2501 0.2501 0.6766
Se 0.7499 0.7499 0.3234
Se 0.9323 0.9323 0.1374



Entry 2:
This record from Alexandria via LeMat-Bulk describes a relaxed structure of ZnSb4Os. The functional is GGA-PBE.

Formation energy without anion corrections ... 1200 meV per atom
Theoretical density ... 7.9 g/cm3
Crystal system ... cubic
M_tot ... 2.744 μB per formula unit

a = 6.0554 Å, b = 6.0554 Å, c = 6.0554 Å
α = 60.00°, β = 60.00°, γ = 60.00°
Positions (direct):
Zn 0.0000 0.0000 0.0000
Sb 0.3749 0.3749 0.3749
Sb 0.3749 0.3749 0.8753
Sb 0.3749 0.8753 0.3749
Sb 0.8753 0.3749 0.3749
Os 0.7500 0.7500 0.7500



Entry 3:
This record from Alexandria via LeMat-Bulk describes a relaxed structure of Al2SiBr. The functional is GGA-PBE.

Formation energy without anion corrections ... 113 meV per atom
Theoretical density ... 3.0 g/cm3
Crystal system ... orthorhombic
M_tot ... 0.000 μB per formula unit

a = 5.1540 Å, b = 5.2183 Å, c = 6.6407 Å
α = 90.00°, β = 90.00°, γ = 90.00°
Positions (direct):
Al 0.0000 0.0000 0.0000
Al 0.0000 0.5000 0.5000
Al 0.5000 0.0000 0.3939
Al 0.5000 0.5000 0.8939
Si 0.5000 0.0000 0.0133
Si 0.5000 0.5000 0.5133
Br 0.0000 0.0000 0.5473
Br 0.0000 0.5000 0.0473



Entry 4:
This record from Alexandria via LeMat-Bulk describes a relaxed structure of LaPr3Hg2. The functional is GGA-PBE.

Theoretical density ... 8.3 g/cm3
E_form ... -0.2634 eV/atom
Crystal system ... monoclinic
M_tot ... 0.000 μB per formula unit

a = 8.7956 Å, b = 8.7956 Å, c = 9.2303 Å
α = 114.85°, β = 114.85°, γ = 36.77°
Positions (direct):
La 0.1288 0.1288 0.1888
La 0.8712 0.8712 0.8112
Pr 0.0617 0.0617 0.7208
Pr 0.3056 0.3056 0.9903
Pr 0.3782 0.3782 0.4621
Pr 0.6218 0.6218 0.5379
Pr 0.6944 0.6944 0.0097
Pr 0.9383 0.9383 0.2792
Hg 0.2272 0.2272 0.5974
Hg 0.4877 0.4877 0.8321
Hg 0.5123 0.5123 0.1679
Hg 0.7728 0.7728 0.4026